BeMoIr2: relaxed, GGA-PBEsol.

Computed properties:
Its raw total energy is -35.53 eV per cell. Its symmetry is No. 123. The value obtained for the total magnetization is 0.0 μB/f.u.

Cell lengths 3.557, 3.875, 3.875 Å; angles 90.00, 90.00, 90.00 degrees
Positions (direct):
Be 0.500 0.000 0.000
Mo 0.500 0.500 0.500
Ir 0.000 0.000 0.500
Ir 0.000 0.500 0.000



KBaN3: relaxed, GGA-PBEsol.

Computed properties:
The calculation puts the formation energy from raw total energies at 1.747 eV per atom. Its raw total energy is -20.13 eV per cell. Its symmetry is No. 221. The value obtained for the total magnetization is 6.0 μB/f.u.

Cell lengths 4.769, 4.769, 4.769 Å; angles 90.00, 90.00, 90.00 degrees
Last column: magnetic moment on the atom in μB.
Positions (direct):
K 0.000 0.000 0.000  0.17
Ba 0.500 0.500 0.500  -0.03
N 0.000 0.500 0.000  1.32
N 0.000 0.000 0.500  1.32
N 0.500 0.000 0.000  1.32



InNi: relaxed, GGA-PBEsol.

Computed properties:
Its raw total energy is -9.41 eV per cell. Its symmetry is No. 221. The value obtained for the total magnetization is 0.0 μB/f.u.

Cell lengths 3.099, 3.099, 3.099 Å; angles 90.00, 90.00, 90.00 degrees
Positions (direct):
Ni 0.500 0.500 0.500
In 0.000 0.000 0.000



Re5Ru: relaxed, GGA-PBEsol.

Computed properties:
Its raw total energy is -77.06 eV per cell. The value obtained for the energy above the most stable polymorph in this dataset is 0 meV per atom. Its symmetry is No. 8. The value obtained for the total magnetization is 0.0 μB/f.u.

Cell lengths 2.739, 5.189, 6.482 Å; angles 103.80, 90.00, 105.30 degrees
Positions (direct):
Re 0.001 0.002 0.999
Re 0.387 0.775 0.278
Re 0.667 0.335 0.331
Re 0.058 0.115 0.614
Re 0.332 0.663 0.669
Ru 0.722 0.444 0.942



YNb2TcP: relaxed, GGA-PBEsol.

Computed properties:
Its raw total energy is -45.40 eV per cell. Its symmetry is No. 123. The value obtained for the total magnetization is 0.0 μB/f.u.

Cell lengths 4.450, 4.675, 4.675 Å; angles 90.00, 90.00, 90.00 degrees
Positions (direct):
Y 0.500 0.500 0.500
P 0.000 0.000 0.000
Nb 0.000 0.000 0.500
Nb 0.000 0.500 0.000
Tc 0.500 0.000 0.000



Li2Nd2Ge3: relaxed, GGA-PBEsol.

Computed properties:
Its raw total energy is -68.55 eV per cell. Its symmetry is No. 63. The value obtained for the total magnetization is 0.0 μB/f.u.

Cell lengths 4.391, 6.849, 9.522 Å; angles 90.00, 103.33, 90.00 degrees
Positions (direct):
Li 0.809 0.438 0.619
Li 0.191 0.562 0.381
Li 0.809 0.062 0.619
Li 0.191 0.938 0.381
Nd 0.552 0.750 0.103
Nd 0.448 0.250 0.897
Nd 0.342 0.750 0.685
Nd 0.658 0.250 0.315
Ge 0.938 0.933 0.876
Ge 0.062 0.067 0.124
Ge 0.938 0.567 0.876
Ge 0.062 0.433 0.124
Ge 0.720 0.750 0.440
Ge 0.280 0.250 0.560